Entry from Alexandria via LeMat-Bulk: a relaxed structure of KBTeMo2 (PBE).

a = 4.347 Å, b = 5.285 Å, c = 4.347 Å
α = 90.00°, β = 90.00°, γ = 90.00°
Each line ends with the local moment (μB).
Sites, in units of the cell vectors:
Mo (0.000, 0.000, 0.500)  1.14
Mo (0.500, 0.000, 0.000)  0.74
Te (0.500, 0.500, 0.500)  -0.02
K (0.000, 0.500, 0.000)  0.01
B (0.000, 0.000, 0.000)  -0.05

Summary:
Electronic total energy, eV per atom: -5.63
Crystal system: tetragonal
Total magnetization, μB per formula unit: 2.2
Formation energy (no corrections), meV/atom: 889
Calculated volume, Å³ per atom: 20.0
Space-group type: P4/mmm, No. 123